(1)
VASP calculation (PBE) on a relaxed structure of CaTmLu4.

Calculated values
Raw total energy, eV per atom: -3.858
Formation enthalpy at 0 K, meV per atom: 234.9
DOS(E_F), states/eV/cell: 10.33
Space group: F-43m, No. 216
Total magnetic moment, μB per atom: 0.001
Volume, Å³/cell: 196.19

Cell and atoms, written as POSCAR:
```
CaTmLu4
1.0
0.000 4.612 4.612
4.612 0.000 4.612
4.612 4.612 0.000
Ca Tm Lu
1 1 4
Cartesian
0.000 0.000 0.000 Ca
2.306 2.306 2.306 Tm
5.753 3.471 3.471 Lu
3.471 5.753 3.471 Lu
3.471 3.471 5.753 Lu
5.753 5.753 5.753 Lu
```

---

(2)
VASP calculation (PBE) on a relaxed structure of Zr3AlF.

Calculated values
Energy above the lowest structure with this stoichiometry, meV/atom: 0
Raw total energy, eV per atom: -6.926
Energy relative to the elements, uncorrected, meV per atom: -674
DOS(E_F), states/eV/cell: 5.07
Space group: Pm-3m, No. 221
Total magnetic moment, μB per atom: 0.000
Volume, Å³/cell: 92.38

Cell and atoms, written as POSCAR:
```
Zr3AlF
1.0
4.521 0.000 0.000
0.000 4.521 0.000
0.000 0.000 4.521
Zr Al F
3 1 1
Cartesian
0.000 0.000 2.260 Zr
0.000 2.260 0.000 Zr
2.260 0.000 0.000 Zr
2.260 2.260 2.260 Al
0.000 0.000 0.000 F
```

---

(3)
VASP calculation (PBE) on a relaxed structure of NdCdPtAu.

Calculated values
Raw total energy, eV per atom: -4.450
Formation enthalpy at 0 K, meV per atom: -699.9
DOS(E_F), states/eV/cell: 1.81
Space group: Cm, No. 8
Total magnetic moment, μB per atom: 0.000
Volume, Å³/cell: 89.03

Cell and atoms, written as POSCAR:
```
NdCdPtAu
1.0
4.151 -2.389 0.000
4.151 2.389 0.000
-2.761 0.000 4.488
Nd Cd Pt Au
1 1 1 1
Cartesian
0.000 0.000 0.000 Nd
2.771 0.000 2.393 Cd
0.005 0.000 3.014 Pt
5.540 0.000 1.429 Au
```

---

(4)
VASP calculation (PBE) on a relaxed structure of MgIn6Ag8.

Calculated values
Raw total energy, eV per atom: -2.730
Formation enthalpy at 0 K, meV per atom: -8.0
DOS(E_F), states/eV/cell: 5.33
Space group: P-31m, No. 162
Total magnetic moment, μB per atom: 0.000
Volume, Å³/cell: 321.21

Cell and atoms, written as POSCAR:
```
MgIn6Ag8
1.0
7.990 0.000 0.000
-3.995 6.920 0.000
0.000 0.000 5.809
Mg In Ag
1 6 8
Cartesian
0.000 0.000 0.000 Mg
-1.488 2.577 4.789 In
-2.507 4.343 1.020 In
2.975 0.000 4.789 In
1.488 2.577 1.020 In
5.015 0.000 1.020 In
2.507 4.343 4.789 In
-1.140 1.975 1.953 Ag
-2.855 4.945 3.857 Ag
2.280 0.000 1.953 Ag
1.140 1.975 3.857 Ag
0.000 4.613 2.905 Ag
3.995 2.307 2.905 Ag
5.710 0.000 3.857 Ag
2.855 4.945 1.953 Ag
```

---

(5)
VASP calculation (PBE) on a relaxed structure of BaHf2Mg2O7.

Calculated values
Raw total energy, eV per atom: -8.132
Energy relative to the elements, uncorrected, meV per atom: -3155
DOS(E_F), states/eV/cell: 0.00
Space group: I4/mmm, No. 139
Total magnetic moment, μB per atom: 0.000
Volume, Å³/cell: 155.15

Cell and atoms, written as POSCAR:
```
BaHf2Mg2O7
1.0
-2.095 2.095 8.841
2.095 -2.095 8.841
2.095 2.095 -8.841
Ba Hf Mg O
1 2 2 7
Cartesian
0.000 0.000 0.000 Ba
0.000 0.000 6.768 Hf
0.000 0.000 10.915 Hf
2.095 0.000 4.421 Mg
0.000 2.095 4.421 Mg
2.095 0.000 2.154 O
0.000 0.000 4.669 O
2.095 0.000 6.687 O
0.000 0.000 8.841 O
0.000 2.095 2.154 O
0.000 0.000 13.014 O
0.000 2.095 6.687 O
```

---

(6)
VASP calculation (PBE) on a relaxed structure of CsLiAsBr2.

Calculated values
Raw total energy, eV per atom: -2.184
Energy relative to the elements, uncorrected, meV per atom: -31
DOS(E_F), states/eV/cell: 1.91
Space group: P4/mmm, No. 123
Total magnetic moment, μB per atom: 0.405
Volume, Å³/cell: 280.79

Cell and atoms, written as POSCAR:
```
CsLiAsBr2
1.0
6.761 0.000 0.000
0.000 6.761 0.000
0.000 0.000 6.142
Cs Li As Br
1 1 1 2
Cartesian
0.000 0.000 0.000 Cs
3.381 3.381 3.071 Li
0.000 0.000 3.071 As
0.000 3.381 0.000 Br
3.381 0.000 0.000 Br
```

---

(7)
VASP calculation (PBE) on a relaxed structure of YGa4CuIr2.

Calculated values
Raw total energy, eV per atom: -5.491
Formation enthalpy at 0 K, meV per atom: -442.3
DOS(E_F), states/eV/cell: 3.92
Space group: R-3m, No. 166
Total magnetic moment, μB per atom: 0.000
Volume, Å³/cell: 133.45

Cell and atoms, written as POSCAR:
```
YGa4CuIr2
1.0
2.135 1.232 8.455
-2.135 1.232 8.455
0.000 -2.465 8.455
Y Ga Cu Ir
1 4 1 2
Cartesian
0.000 0.000 0.000 Y
0.000 0.000 3.345 Ga
0.000 0.000 10.104 Ga
0.000 0.000 15.262 Ga
0.000 0.000 22.021 Ga
0.000 0.000 12.683 Cu
0.000 0.000 5.987 Ir
0.000 0.000 19.379 Ir
```

---

(8)
VASP calculation (PBE) on a relaxed structure of AgPt2.

Calculated values
Energy above the lowest structure with this stoichiometry, meV/atom: 388
Raw total energy, eV per atom: -4.597
Formation enthalpy at 0 K, meV per atom: 380.7
DOS(E_F), states/eV/cell: 5.59
Space group: P4/mmm, No. 123
Total magnetic moment, μB per atom: 0.000
Volume, Å³/cell: 58.91

Cell and atoms, written as POSCAR:
```
AgPt2
1.0
3.704 0.000 0.000
0.000 3.704 0.000
0.000 0.000 4.294
Ag Pt
1 2
Cartesian
0.000 0.000 0.000 Ag
0.000 1.852 2.147 Pt
1.852 0.000 2.147 Pt
```